VASP calculation (GGA-PBE) on a relaxed TbPr2Tm8 crystal.

E: -4.51 eV per atom
E_form: 28.7 meV/atom
SG: C2/m (12)

Cell lengths 9.3596, 9.3596, 7.9047 Å; angles 104.61, 104.61, 30.99 degrees
With the nearest neighbours (Å) after each atom.
Atoms (fractional coordinates):
Tb 0.0000 0.0000 0.0000  12 Tm 3.51-3.53
Pr 0.2729 0.2729 0.3623  10 Tm 3.53-3.59, 2 Pr 3.55
Pr 0.7271 0.7271 0.6377  10 Tm 3.53-3.59, 2 Pr 3.55
Tm 0.0890 0.0890 0.4532  8 Tm 3.48-3.56, 1 Tb 3.52, 3 Pr 3.56-3.57
Tm 0.1807 0.1807 0.9076  8 Tm 3.52-3.57, 1 Tb 3.52, 3 Pr 3.53-3.54
Tm 0.3653 0.3653 0.8230  7 Tm 3.50-3.56, 2 Tb 3.51, 3 Pr 3.56-3.59
Tm 0.4558 0.4558 0.2726  9 Tm 3.50-3.54, 2 Tb 3.53, 1 Pr 3.55
Tm 0.5442 0.5442 0.7274  9 Tm 3.50-3.54, 2 Tb 3.53, 1 Pr 3.55
Tm 0.6347 0.6347 0.1770  7 Tm 3.50-3.56, 2 Tb 3.51, 3 Pr 3.56-3.59
Tm 0.8193 0.8193 0.0924  8 Tm 3.52-3.57, 1 Tb 3.52, 3 Pr 3.53-3.54
Tm 0.9110 0.9110 0.5468  8 Tm 3.48-3.56, 1 Tb 3.52, 3 Pr 3.56-3.57

VASP calculation (GGA-PBE) on a relaxed LiLaNiAu crystal.

E: -4.28 eV per atom
E_form: -307.5 meV/atom
SG: F-43m (216)

Cell lengths 4.9114, 4.9114, 4.9114 Å; angles 60.00, 60.00, 60.00 degrees
With the nearest neighbours (Å) after each atom.
Atoms (fractional coordinates):
Li 0.0000 0.0000 0.0000  4 Ni 3.01, 4 Au 3.01
La 0.5000 0.5000 0.5000  4 Ni 3.01, 4 Au 3.01
Ni 0.7500 0.7500 0.7500  4 La 3.01, 4 Li 3.01
Au 0.2500 0.2500 0.2500  4 La 3.01, 4 Li 3.01